1.
# MnCd2Ag, PBEsol geometry, DFT SCAN
data_MnCd2Ag
_space_group_name_H-M_alt 'R -3 m'
_space_group_IT_number 166
_space_group_name_Hall '-R 3 2"'
_cell_length_a 2.9535
_cell_length_b 2.9535
_cell_length_c 27.8291
_cell_angle_alpha 90.00
_cell_angle_beta 90.00
_cell_angle_gamma 120.00
loop_
_atom_site_label
_atom_site_type_symbol
_atom_site_fract_x
_atom_site_fract_y
_atom_site_fract_z
Mn1 Mn 0.0000 0.0000 0.0000
Cd1 Cd 0.0000 0.0000 0.2520
Ag1 Ag 0.0000 0.0000 0.5000
# * calculated volume: 210.2 Å³/cell
# * magnetization: 3.9 μB/f.u.
# * energy of formation: 13 meV per atom
# * total energy: -27.60 eV per atom
# * Fermi-level density of states: 5.37 states/eV/cell



2.
# CrIr, PBEsol geometry, DFT SCAN
data_CrIr
_space_group_name_H-M_alt 'P n m a'
_space_group_IT_number 62
_space_group_name_Hall '-P 2ac 2n'
_cell_length_a 4.603
_cell_length_b 4.187
_cell_length_c 5.257
_cell_angle_alpha 90.00
_cell_angle_beta 90.00
_cell_angle_gamma 90.00
loop_
_atom_site_label
_atom_site_type_symbol
_atom_site_fract_x
_atom_site_fract_y
_atom_site_fract_z
Cr1 Cr 0.084 0.250 0.123
Ir1 Ir 0.093 0.250 0.628
# * calculated volume: 101.3 Å³/cell
# * magnetization: 0.0 μB/f.u.
# * energy of formation: -260 meV per atom
# * total energy: -45.00 eV per atom
# * Fermi-level density of states: 7.76 states/eV/cell



3.
# CaNi2Hg, PBEsol geometry, DFT SCAN
data_CaNi2Hg
_space_group_name_H-M_alt 'I 4/m m m'
_space_group_IT_number 139
_space_group_name_Hall '-I 4 2'
_cell_length_a 4.271
_cell_length_b 4.271
_cell_length_c 7.042
_cell_angle_alpha 90.00
_cell_angle_beta 90.00
_cell_angle_gamma 90.00
loop_
_atom_site_label
_atom_site_type_symbol
_atom_site_fract_x
_atom_site_fract_y
_atom_site_fract_z
Ca1 Ca 0.000 0.000 0.000
Ni1 Ni 0.000 0.500 0.250
Hg1 Hg 0.000 0.000 0.500
# * calculated volume: 128.4 Å³/cell
# * magnetization: 0.0 μB/f.u.
# * energy of formation: 71 meV per atom
# * excess energy over the best structure of this formula in the dataset: 0.26 eV/f.u.
# * total energy: -27.47 eV per atom
# * Fermi-level density of states: 2.51 states/eV/cell